Record 1
Here is crystalline SrNiAs4 at its relaxed geometry from the Alexandria database. Energies are from PBE.

- space group = F-43m
- total DFT energy (no corrections) (eV/atom) = -4.24
- DFT formation energy (eV per atom) = 0.102
- V (A^3/atom) = 21.16

Cell: 5.6417 5.6417 5.6417 Å, 60.00 60.00 60.00°
Element x y z (fractional)
Sr  0.0000  0.0000  0.0000
Ni  0.2500  0.2500  0.2500
As  0.1334  0.6222  0.6222
As  0.6222  0.1334  0.6222
As  0.6222  0.6222  0.1334
As  0.6222  0.6222  0.6222



Record 2
Here is crystalline ScTi2N3 at its relaxed geometry from the Alexandria database. Energies are from PBE.

- space group = Immm
- total DFT energy (no corrections) (eV/atom) = -9.63
- formation energy from raw total energies (eV/f.u.) = -10.7
- V (A^3/atom) = 10.15

Cell: 3.0559 4.3367 9.1950 Å, 90.00 90.00 90.00°
Element x y z (fractional)
Sc  0.0000  0.0000  0.0000
Sc  0.5000  0.5000  0.5000
Ti  0.0000  0.0000  0.3341
Ti  0.0000  0.0000  0.6659
Ti  0.5000  0.5000  0.1659
Ti  0.5000  0.5000  0.8341
N  0.0000  0.5000  0.0000
N  0.0000  0.5000  0.3274
N  0.0000  0.5000  0.6726
N  0.5000  0.0000  0.1726
N  0.5000  0.0000  0.5000
N  0.5000  0.0000  0.8274